A plane-wave DFT calculation with PBE was carried out for a relaxed structure of Ce2GeP3Ir4.

As for the crystal system: tetragonal. The energy of formation from the pure elements comes out at -9.4 eV per formula unit. Its theoretical density is 11890 kg/m³. The value obtained for the density of states at the Fermi level is 6.0 states/eV per cell. As for the total energy: -77.6 eV for the cell shown.

Unit cell a=4.1383 b=4.1383 c=9.9051 alpha=90.00 beta=90.00 gamma=90.00
Space group P-4m2 (No. 115)
One atom of each set of equivalent atoms:
Ce1 0.0000 0.5000 0.2489
Ge1 0.5000 0.5000 0.0000
P1 0.0000 0.0000 0.0000
P2 0.0000 0.5000 0.6371
Ir1 0.0000 0.0000 0.5000
Ir2 0.0000 0.5000 0.8711
Ir3 0.5000 0.5000 0.5000

=====

A plane-wave DFT calculation with PBE was carried out for a relaxed structure of TiBe2V.

As for the crystal system: tetragonal. The energy of formation from the pure elements comes out at -0.2 eV per formula unit. Its theoretical density is 4133 kg/m³. The calculation puts the energy above the lowest structure with this stoichiometry at 0 meV/atom. The value obtained for the density of states at the Fermi level is 2.9 states/eV per cell. As for the total energy: -24.7 eV for the cell shown.

Unit cell a=3.7251 b=3.7251 c=3.3829 alpha=90.00 beta=90.00 gamma=90.00
Space group P4/mmm (No. 123)
One atom of each set of equivalent atoms:
Ti1 0.0000 0.0000 0.0000
Be1 0.0000 0.5000 0.5000
V1 0.5000 0.5000 0.0000

=====

A plane-wave DFT calculation with PBE was carried out for a relaxed structure of Pm2HoTm6.

As for the crystal system: monoclinic. The energy of formation from the pure elements comes out at 1.0 eV per formula unit. Its theoretical density is 8621 kg/m³. The value obtained for the density of states at the Fermi level is 45.0 states/eV per cell. As for the total energy: -159.7 eV for the cell shown.

Unit cell a=12.7131 b=14.1016 c=6.4960 alpha=90.00 beta=103.69 gamma=90.00
Space group C2/c (No. 15)
One atom of each set of equivalent atoms:
Pm1 0.1430 0.0259 0.3737
Ho1 0.0000 0.3819 0.2500
Tm1 0.0359 0.1883 0.0031
Tm2 0.1322 0.4108 0.8144
Tm3 0.2400 0.2012 0.7315

=====

A plane-wave DFT calculation with PBE was carried out for a relaxed structure of Sr2LiBeAu6.

As for the crystal system: triclinic. The energy of formation from the pure elements comes out at -5.2 eV per formula unit. Its theoretical density is 10363 kg/m³. The value obtained for the density of states at the Fermi level is 3.5 states/eV per cell. As for the total energy: -33.9 eV for the cell shown.

Unit cell a=6.4797 b=6.5397 c=7.0119 alpha=63.14 beta=62.83 gamma=60.53
Space group P-1 (No. 2)
One atom of each set of equivalent atoms:
Sr1 0.2209 0.2207 0.3393
Li1 0.5000 0.5000 0.5000
Be1 0.0000 0.0000 0.0000
Au1 0.2425 0.2440 0.8228
Au2 0.2428 0.6870 0.8256
Au3 0.3134 0.7606 0.1733

=====

A plane-wave DFT calculation with PBE was carried out for a relaxed structure of RbScAg2.

As for the crystal system: cubic. The energy of formation from the pure elements comes out at 1.6 eV per formula unit. Its theoretical density is 5385 kg/m³. The calculation puts the energy above the lowest structure with this stoichiometry at 0 meV/atom. The value obtained for the density of states at the Fermi level is 21.5 states/eV per cell. As for the total energy: -45.7 eV for the cell shown.

Unit cell a=7.5301 b=7.5301 c=7.5301 alpha=90.00 beta=90.00 gamma=90.00
Space group Fm-3m (No. 225)
One atom of each set of equivalent atoms:
Rb1 0.0000 0.0000 0.0000
Sc1 0.0000 0.0000 0.5000
Ag1 0.2500 0.2500 0.2500

=====

A plane-wave DFT calculation with PBE was carried out for a relaxed structure of LiCu2Ni2.

As for the crystal system: monoclinic. The energy of formation from the pure elements comes out at 1.5 eV per formula unit. Its theoretical density is 6038 kg/m³. The calculation puts the energy above the lowest structure with this stoichiometry at 293 meV/atom. The value obtained for the density of states at the Fermi level is 22.9 states/eV per cell. As for the total energy: -80.7 eV for the cell shown.

Unit cell a=4.6751 b=8.9290 c=7.0078 alpha=90.00 beta=109.01 gamma=90.00
Space group C2/c (No. 15)
One atom of each set of equivalent atoms:
Li1 0.0000 0.1283 0.2500
Cu1 0.0000 0.1493 0.7500
Cu2 0.0000 0.4057 0.2500
Ni1 0.0958 0.3720 0.9410

=====

A plane-wave DFT calculation with PBE was carried out for a relaxed structure of KTcOs2.

As for the crystal system: orthorhombic. The energy of formation from the pure elements comes out at 4.7 eV per formula unit. Its theoretical density is 11763 kg/m³. The calculation puts the energy above the lowest structure with this stoichiometry at 492 meV/atom. The value obtained for the density of states at the Fermi level is 6.9 states/eV per cell. As for the total energy: -58.4 eV for the cell shown.

Unit cell a=2.6790 b=5.1925 c=10.5038 alpha=90.00 beta=90.00 gamma=90.00
Space group Imm2 (No. 44)
One atom of each set of equivalent atoms:
K1 0.0000 0.0000 0.0000
Tc1 0.0000 0.5000 0.2104
Os1 0.0000 0.0000 0.5000
Os2 0.0000 0.5000 0.7899

=====

A plane-wave DFT calculation with PBE was carried out for a relaxed structure of La2SmDy2Mg5.

As for the crystal system: tetragonal. The energy of formation from the pure elements comes out at 0.0 eV per formula unit. Its theoretical density is 4944 kg/m³. The value obtained for the density of states at the Fermi level is 14.0 states/eV per cell. As for the total energy: -63.5 eV for the cell shown.

Unit cell a=10.6811 b=10.6811 c=5.1498 alpha=90.00 beta=90.00 gamma=90.00
Space group P4/mbm (No. 127)
One atom of each set of equivalent atoms:
La1 0.1756 0.3244 0.0000
Sm1 0.0000 0.0000 0.0000
Dy1 0.1207 0.6207 0.0000
Mg1 0.0000 0.5000 0.5000
Mg2 0.0731 0.8013 0.5000